Below is TbY4Th2 after structural relaxation, with properties calculated at the PBE level.

Lattice parameters (Å, degrees): 3.502 8.587 8.757 62.31 88.95 80.50
Fractional coordinates of all 7 atoms:
Tb: 0.000 0.000 0.000
Y: 0.053 0.447 0.718
Y: 0.352 0.858 0.421
Y: 0.648 0.142 0.579
Y: 0.947 0.553 0.282
Th: 0.406 0.716 0.870
Th: 0.594 0.284 0.130

Values from the calculation:
DFT formation energy in eV/atom: 0.111
Crystal system: triclinic
Energy above the most stable polymorph in this dataset in meV/atom: 0

Below is Tb4Y8Th after structural relaxation, with properties calculated at the PBE level.

Lattice parameters (Å, degrees): 11.295 11.295 11.295 35.79 35.79 35.79
Fractional coordinates of all 13 atoms:
Tb: 0.000 0.000 0.000
Tb: 0.000 0.500 0.500
Tb: 0.500 0.000 0.500
Tb: 0.500 0.500 0.000
Y: 0.200 0.200 0.200
Y: 0.237 0.749 0.749
Y: 0.251 0.251 0.763
Y: 0.251 0.763 0.251
Y: 0.749 0.237 0.749
Y: 0.749 0.749 0.237
Y: 0.763 0.251 0.251
Y: 0.800 0.800 0.800
Th: 0.500 0.500 0.500

Values from the calculation:
DFT formation energy in eV/atom: 0.283
Crystal system: trigonal

Below is Tb3Y7Th2 after structural relaxation, with properties calculated at the PBE level.

Lattice parameters (Å, degrees): 19.301 19.301 3.602 90.00 90.00 162.90
Fractional coordinates of all 12 atoms:
Tb: 0.000 0.000 0.000
Tb: 0.315 0.685 0.500
Tb: 0.685 0.315 0.500
Y: 0.071 0.929 0.500
Y: 0.230 0.770 0.000
Y: 0.410 0.590 0.000
Y: 0.500 0.500 0.500
Y: 0.590 0.410 0.000
Y: 0.770 0.230 0.000
Y: 0.929 0.071 0.500
Th: 0.147 0.853 0.000
Th: 0.853 0.147 0.000

Values from the calculation:
DFT formation energy in eV/atom: 0.156
Crystal system: orthorhombic

Below is Tb7YTh4 after structural relaxation, with properties calculated at the PBE level.

Lattice parameters (Å, degrees): 3.580 3.580 34.753 90.00 90.00 120.00
Fractional coordinates of all 12 atoms:
Tb: 0.000 0.000 0.000
Tb: 0.000 0.000 0.252
Tb: 0.000 0.000 0.748
Tb: 0.333 0.667 0.164
Tb: 0.333 0.667 0.415
Tb: 0.667 0.333 0.585
Tb: 0.667 0.333 0.836
Y: 0.000 0.000 0.500
Th: 0.333 0.667 0.667
Th: 0.333 0.667 0.917
Th: 0.667 0.333 0.083
Th: 0.667 0.333 0.333

Values from the calculation:
DFT formation energy in eV/atom: 0.022
Crystal system: trigonal

Below is Tb2Y6Th3 after structural relaxation, with properties calculated at the PBE level.

Lattice parameters (Å, degrees): 6.333 6.333 11.162 93.52 93.52 123.58
Fractional coordinates of all 11 atoms:
Tb: 0.146 0.854 0.000
Tb: 0.854 0.146 0.000
Y: 0.095 0.095 0.267
Y: 0.258 0.576 0.769
Y: 0.424 0.742 0.231
Y: 0.576 0.258 0.769
Y: 0.742 0.424 0.231
Y: 0.905 0.905 0.733
Th: 0.175 0.825 0.500
Th: 0.500 0.500 0.500
Th: 0.825 0.175 0.500

Values from the calculation:
DFT formation energy in eV/atom: 0.176
Crystal system: monoclinic

Below is TbY3Th after structural relaxation, with properties calculated at the PBE level.

Lattice parameters (Å, degrees): 3.426 6.404 16.215 90.00 90.00 90.00
Fractional coordinates of all 10 atoms:
Tb: 0.000 0.000 0.000
Tb: 0.000 0.500 0.500
Y: 0.000 0.240 0.665
Y: 0.000 0.260 0.165
Y: 0.000 0.740 0.165
Y: 0.000 0.760 0.665
Y: 0.500 0.000 0.826
Y: 0.500 0.500 0.326
Th: 0.500 0.000 0.475
Th: 0.500 0.500 0.975

Values from the calculation:
DFT formation energy in eV/atom: 0.431
Crystal system: orthorhombic
Energy above the most stable polymorph in this dataset in meV/atom: 401

> What is the formula in the first record?

TbY4Th2